# PBE with a Hubbard U ZrNiOF2, optimized geometry
# - Total moment: 1.04 μB/f.u.
# - Fermi-level density of states: 2.80 states/eV/cell
# - V: 15.11 Å³ per atom
# - Energy above the most stable polymorph in this dataset: 0.000 eV/atom
# - DFT total energy: -29.9 eV per formula unit
data_ZrNiOF2
_cell_length_a 4.3130
_cell_length_b 4.3130
_cell_length_c 4.0622
_cell_angle_alpha 90.00
_cell_angle_beta 90.00
_cell_angle_gamma 90.00
_space_group_name_H-M_alt 'P 4/m m m'
_space_group_IT_number 123
_space_group_name_Hall '-P 4 2'
loop_
_atom_site_label
_atom_site_type_symbol
_atom_site_fract_x
_atom_site_fract_y
_atom_site_fract_z
_atom_site_occupancy
Zr1 Zr 0.0000 0.0000 0.0000 1
Ni1 Ni 0.5000 0.5000 0.5000 1
O1 O 0.0000 0.0000 0.5000 1
F1 F 0.0000 0.5000 0.0000 1